The following is a DFT calculation (GGA+U) of crystalline Li3NbNi4O8 at its relaxed geometry.

Lattice parameters (Å, degrees): 5.9706 5.9706 6.0512 120.35 120.35 60.91
Fractional coordinates of all 16 atoms:
Li  0.0000  0.0000  0.0000
Li  0.0000  0.5000  0.5000
Li  0.5000  0.0000  0.5000
Nb  0.5000  0.5000  0.5000
Ni  0.0000  0.0000  0.5000
Ni  0.0000  0.5000  0.0000
Ni  0.5000  0.0000  0.0000
Ni  0.5000  0.5000  0.0000
O  0.2499  0.2499  0.7687
O  0.2593  0.7370  0.7370
O  0.2596  0.2596  0.2577
O  0.2630  0.7407  0.2630
O  0.7370  0.2593  0.7370
O  0.7404  0.7404  0.7423
O  0.7407  0.2630  0.2630
O  0.7501  0.7501  0.2313

Properties
density of states at the Fermi level = 0.000 states/eV/cell
volume = 9.55 Å³/atom
space group = C2/m (12)
calculated total energy = -5.778 eV/atom



The following is a DFT calculation (GGA+U) of crystalline Li4Mn3V3Te2O16 at its relaxed geometry.

Lattice parameters (Å, degrees): 5.9672 6.0806 10.2061 90.39 90.87 118.15
Fractional coordinates of all 28 atoms:
Li  0.0000  0.0000  0.0000
Li  0.0085  0.9993  0.4942
Li  0.3388  0.6919  0.5934
Li  0.6957  0.3380  0.0753
Mn  0.1721  0.3428  0.2716
Mn  0.1903  0.8419  0.2729
Mn  0.3446  0.1708  0.7761
V  0.6672  0.8007  0.2621
V  0.8198  0.6661  0.7649
V  0.8459  0.1816  0.7738
Te  0.3374  0.6871  0.9976
Te  0.6775  0.3314  0.4841
O  0.0034  0.9855  0.1855
O  0.0197  0.0041  0.6790
O  0.0617  0.5461  0.1341
O  0.1475  0.2961  0.8798
O  0.1593  0.8350  0.8993
O  0.3390  0.1582  0.3928
O  0.3691  0.7027  0.3718
O  0.5143  0.9661  0.1342
O  0.5388  0.0455  0.6656
O  0.5414  0.5318  0.1613
O  0.5463  0.5378  0.6625
O  0.6763  0.3475  0.8734
O  0.7126  0.8701  0.8777
O  0.8310  0.1568  0.3876
O  0.8446  0.6742  0.3884
O  0.9870  0.4969  0.6695

Properties
volume = 11.66 Å³/atom
space group = P1 (1)
calculated total energy = -6.657 eV/atom



Question: Which value of volume does entry 1 give?
Answer: 9.55 Å³/atom